No. 1
This record from Alexandria via LeMat-Bulk describes a relaxed Tm4CoB13 crystal. The functional is PBEsol.

abc: 6.707 7.215 7.215
angles: 90.00 90.00 90.00
Fractional positions:
B 0.754 0.539 0.670
Tm 0.000 0.815 0.682
B 0.246 0.670 0.461
B 0.746 0.039 0.830
B 0.254 0.961 0.170
Tm 0.500 0.685 0.182
B 0.750 0.590 0.910
Tm 0.500 0.182 0.315
B 0.746 0.961 0.170
B 0.746 0.170 0.039
B 0.746 0.830 0.961
Tm 0.500 0.315 0.818
B 0.750 0.090 0.590
B 0.254 0.830 0.961
Tm 0.000 0.318 0.815
B 0.250 0.590 0.910
B 0.246 0.461 0.330
B 0.246 0.539 0.670
B 0.250 0.090 0.590
Co 0.500 0.500 0.500
B 0.250 0.410 0.090
Tm 0.500 0.818 0.685
B 0.250 0.910 0.410
B 0.750 0.410 0.090
B 0.754 0.330 0.539
B 0.754 0.670 0.461
B 0.254 0.039 0.830
B 0.000 0.500 0.500
Tm 0.000 0.185 0.318
B 0.246 0.330 0.539
B 0.254 0.170 0.039
B 0.754 0.461 0.330
B 0.500 0.000 0.000
Tm 0.000 0.682 0.185
B 0.750 0.910 0.410
Co 0.000 0.000 0.000

Values from the calculation:
Crystal system: tetragonal
Calculated density in kg/m3: 8326
Total energy in eV/cell: -258.4
SG: P4/mnc (128)
DOS at the Fermi energy in states/eV per cell: 9.62
Formation energy from the elements in meV per atom: -592

No. 2
This record from Alexandria via LeMat-Bulk describes a relaxed TmCo12B6 crystal. The functional is PBEsol.

abc: 5.868 5.868 5.868
angles: 104.05 104.05 104.05
Fractional positions:
Co 0.868 0.132 0.500
Co 0.868 0.500 0.132
Co 0.132 0.868 0.500
B 0.766 0.319 0.766
Co 0.132 0.500 0.868
Co 0.186 0.454 0.454
B 0.681 0.234 0.234
Co 0.546 0.546 0.814
B 0.234 0.681 0.234
Co 0.546 0.814 0.546
Co 0.500 0.868 0.132
Co 0.500 0.132 0.868
Co 0.454 0.454 0.186
Tm 0.000 0.000 0.000
Co 0.454 0.186 0.454
B 0.766 0.766 0.319
Co 0.814 0.546 0.546
B 0.319 0.766 0.766
B 0.234 0.234 0.681

Values from the calculation:
Crystal system: trigonal
Calculated density in kg/m3: 8678
Total energy in eV/cell: -147.6
SG: R-3m (166)
DOS at the Fermi energy in states/eV per cell: 13.20
Formation energy from the elements in meV per atom: -408

No. 3
This record from Alexandria via LeMat-Bulk describes a relaxed U2Co21B6 crystal. The functional is PBEsol.

abc: 7.384 7.384 7.384
angles: 60.00 60.00 60.00
Fractional positions:
Co 0.000 0.664 0.336
Co 0.383 0.383 0.383
Co 0.383 0.383 0.852
Co 0.664 0.336 0.000
Co 0.336 0.000 0.664
Co 0.148 0.617 0.617
Co 0.336 0.000 0.000
Co 0.617 0.617 0.148
Co 0.617 0.148 0.617
U 0.250 0.250 0.250
Co 0.000 0.000 0.000
Co 0.617 0.617 0.617
Co 0.000 0.336 0.000
Co 0.000 0.664 0.000
U 0.750 0.750 0.750
B 0.726 0.726 0.274
Co 0.336 0.664 0.000
Co 0.852 0.383 0.383
Co 0.383 0.852 0.383
Co 0.000 0.000 0.664
Co 0.664 0.000 0.000
B 0.274 0.726 0.726
B 0.274 0.726 0.274
Co 0.664 0.000 0.336
B 0.726 0.274 0.274
B 0.726 0.274 0.726
Co 0.000 0.336 0.664
Co 0.000 0.000 0.336
B 0.274 0.274 0.726

Values from the calculation:
Crystal system: cubic
Calculated density in kg/m3: 10375
Total energy in eV/cell: -238.1
SG: Fm-3m (225)
DOS at the Fermi energy in states/eV per cell: 21.86
Formation energy from the elements in meV per atom: -318

No. 4
This record from Alexandria via LeMat-Bulk describes a relaxed CoB3W3 crystal. The functional is PBEsol.

abc: 3.163 4.485 10.703
angles: 90.00 90.00 110.65
Fractional positions:
W 0.498 0.997 0.750
Co 0.500 0.000 0.000
W 0.211 0.423 0.894
W 0.502 0.003 0.250
B 0.915 0.830 0.602
B 0.915 0.830 0.898
W 0.211 0.423 0.606
B 0.791 0.582 0.750
W 0.789 0.577 0.394
Co 0.500 0.000 0.500
B 0.085 0.170 0.102
W 0.789 0.577 0.106
B 0.085 0.170 0.398
B 0.209 0.418 0.250

Values from the calculation:
Crystal system: orthorhombic
Calculated density in kg/m3: 15029
Total energy in eV/cell: -147.6
SG: Cmcm (63)
DOS at the Fermi energy in states/eV per cell: 6.80
Formation energy from the elements in meV per atom: -515

No. 5
This record from Alexandria via LeMat-Bulk describes a relaxed CoBW crystal. The functional is PBEsol.

abc: 3.227 5.678 6.557
angles: 90.00 90.00 90.00
Fractional positions:
Co 0.250 0.643 0.942
Co 0.250 0.143 0.558
W 0.250 0.027 0.175
Co 0.750 0.857 0.442
Co 0.750 0.357 0.058
B 0.750 0.730 0.125
W 0.750 0.973 0.825
B 0.250 0.270 0.875
W 0.250 0.527 0.325
B 0.750 0.230 0.375
W 0.750 0.473 0.675
B 0.250 0.770 0.625

Values from the calculation:
Crystal system: orthorhombic
Calculated density in kg/m3: 14018
Total energy in eV/cell: -120.4
SG: Pnma (62)
DOS at the Fermi energy in states/eV per cell: 3.10
Formation energy from the elements in meV per atom: -512

No. 6
This record from Alexandria via LeMat-Bulk describes a relaxed YCo2B2 crystal. The functional is PBEsol.

abc: 3.508 3.508 5.255
angles: 109.50 109.50 90.00
Fractional positions:
B 0.351 0.351 0.701
Co 0.750 0.250 0.500
B 0.649 0.649 0.299
Co 0.250 0.750 0.500
Y 0.000 0.000 0.000

Values from the calculation:
Crystal system: tetragonal
Calculated density in kg/m3: 6653
Total energy in eV/cell: -39.5
SG: I4/mmm (139)
DOS at the Fermi energy in states/eV per cell: 1.66
Formation energy from the elements in meV per atom: -633

No. 7
This record from Alexandria via LeMat-Bulk describes a relaxed YCo3B2 crystal. The functional is PBEsol.

abc: 2.979 4.942 4.942
angles: 120.00 90.00 90.00
Fractional positions:
B 0.000 0.667 0.333
Y 0.000 0.000 0.000
B 0.000 0.333 0.667
Co 0.500 0.500 0.000
Co 0.500 0.500 0.500
Co 0.500 0.000 0.500

Values from the calculation:
Crystal system: hexagonal
Calculated density in kg/m3: 7570
Total energy in eV/cell: -47.5
SG: P6/mmm (191)
DOS at the Fermi energy in states/eV per cell: 3.57
Formation energy from the elements in meV per atom: -565

No. 8
This record from Alexandria via LeMat-Bulk describes a relaxed YCo4B crystal. The functional is PBEsol.

abc: 4.925 4.925 6.747
angles: 90.00 90.00 120.00
Fractional positions:
Co 0.333 0.667 0.000
B 0.333 0.667 0.500
Y 0.000 0.000 0.500
Co 0.500 0.500 0.714
B 0.667 0.333 0.500
Co 0.500 0.000 0.286
Co 0.500 0.500 0.286
Co 0.500 0.000 0.714
Co 0.000 0.500 0.714
Y 0.000 0.000 0.000
Co 0.667 0.333 0.000
Co 0.000 0.500 0.286

Values from the calculation:
Crystal system: hexagonal
Calculated density in kg/m3: 7862
Total energy in eV/cell: -93.5
SG: P6/mmm (191)
DOS at the Fermi energy in states/eV per cell: 15.53
Formation energy from the elements in meV per atom: -328